The following is a GGA-PBE calculation of a relaxed HgTe2Mo crystal, from Alexandria via LeMat-Bulk.

SG: R3m, No. 160
Uncorrected formation energy, eV/atom: -0.2035

```
12
Lattice="3.549 0.000 0.000 -1.775 3.074 0.000 0.000 0.000 32.650" Properties=species:S:1:pos:R:3 pbc="T T T"
Hg 0.000 0.000 0.000
Hg 0.000 2.049 21.767
Hg 1.775 1.025 10.883
Te 0.000 0.000 25.140
Te 0.000 0.000 28.765
Te 0.000 2.049 14.257
Te 0.000 2.049 17.882
Te 1.775 1.025 3.373
Te 1.775 1.025 6.998
Mo 0.000 0.000 5.187
Mo 0.000 2.049 26.954
Mo 1.775 1.025 16.071
```